No. 1
Density functional theory data (GGA-PBEsol) for a relaxed structure of Zr7Pt10.

Cell: 8.1201 8.1201 9.5623 Å, 90.00 90.00 72.37°
Closest atoms and distances in Å follow each position.
Positions (direct):
1 Zr 0.0000 0.0000 0.0000  8 Pt 2.76-2.77
2 Zr 0.0009 0.4991 0.2500  8 Pt 2.77-2.80
3 Zr 0.1828 0.8172 0.6834  7 Pt 2.79-2.88
4 Zr 0.1895 0.1895 0.5000  10 Pt 2.84-2.95
5 Zr 0.3105 0.3105 0.0000  10 Pt 2.84-2.95
6 Zr 0.3172 0.6828 0.1834  7 Pt 2.79-2.88
7 Zr 0.4991 0.0009 0.7500  8 Pt 2.77-2.80
8 Zr 0.5000 0.5000 0.5000  8 Pt 2.76-2.77
9 Zr 0.5009 0.9991 0.2500  8 Pt 2.77-2.80
10 Zr 0.6828 0.3172 0.8166  7 Pt 2.79-2.88
11 Zr 0.6895 0.6895 0.0000  10 Pt 2.84-2.95
12 Zr 0.8105 0.8105 0.5000  10 Pt 2.84-2.95
13 Zr 0.8172 0.1828 0.3166  7 Pt 2.79-2.88
14 Zr 0.9991 0.5009 0.7500  8 Pt 2.77-2.80
15 Pt 0.0635 0.6446 0.9998  6 Zr 2.77-2.95, 4 Pt 2.79-2.84
16 Pt 0.1074 0.8926 0.3924  5 Pt 2.79-2.91, 5 Zr 2.84-2.88
17 Pt 0.1446 0.5635 0.4998  6 Zr 2.77-2.95, 4 Pt 2.79-2.84
18 Pt 0.1457 0.1466 0.2084  6 Zr 2.76-2.93, 4 Pt 2.80-2.84
19 Pt 0.1466 0.1457 0.7916  6 Zr 2.76-2.93, 4 Pt 2.80-2.84
20 Pt 0.3534 0.3543 0.2916  6 Zr 2.76-2.93, 4 Pt 2.80-2.84
21 Pt 0.3543 0.3534 0.7084  6 Zr 2.76-2.93, 4 Pt 2.80-2.84
22 Pt 0.3554 0.9365 0.9998  6 Zr 2.77-2.95, 4 Pt 2.79-2.84
23 Pt 0.3926 0.6074 0.8924  5 Pt 2.79-2.91, 5 Zr 2.84-2.88
24 Pt 0.4365 0.8554 0.4998  6 Zr 2.77-2.95, 4 Pt 2.79-2.84
25 Pt 0.5635 0.1446 0.5002  6 Zr 2.77-2.95, 4 Pt 2.79-2.84
26 Pt 0.6074 0.3926 0.1076  5 Pt 2.79-2.91, 5 Zr 2.84-2.88
27 Pt 0.6446 0.0635 0.0002  6 Zr 2.77-2.95, 4 Pt 2.79-2.84
28 Pt 0.6457 0.6466 0.2916  6 Zr 2.76-2.93, 4 Pt 2.80-2.84
29 Pt 0.6466 0.6457 0.7084  6 Zr 2.76-2.93, 4 Pt 2.80-2.84
30 Pt 0.8534 0.8543 0.2084  6 Zr 2.76-2.93, 4 Pt 2.80-2.84
31 Pt 0.8543 0.8534 0.7916  6 Zr 2.76-2.93, 4 Pt 2.80-2.84
32 Pt 0.8554 0.4365 0.5002  6 Zr 2.77-2.95, 4 Pt 2.79-2.84
33 Pt 0.8926 0.1074 0.6076  5 Pt 2.79-2.91, 5 Zr 2.84-2.88
34 Pt 0.9365 0.3554 0.0002  6 Zr 2.77-2.95, 4 Pt 2.79-2.84

## Properties
ΔE_f = -1.095 eV per atom
E = -8.934 eV/atom
calculated volume = 17.67 A^3/atom
size of the total moment = 0.0 Bohr magnetons per cell

---

No. 2
Density functional theory data (GGA-PBEsol) for a relaxed structure of GdFeNi4.

Cell: 4.8694 4.8694 3.8884 Å, 90.00 90.00 120.00°
Closest atoms and distances in Å follow each position.
Positions (direct):
1 Gd 0.0000 0.0000 0.0000  3 Fe 2.81, 15 Ni 2.81-3.12
2 Fe 0.3333 0.6667 0.0000  6 Ni 2.40
3 Ni 0.5003 0.0006 0.5000  6 Ni 2.40-2.44, 2 Fe 2.40
4 Ni 0.5003 0.4997 0.5000  6 Ni 2.40-2.44, 2 Fe 2.40
5 Ni 0.6667 0.3333 0.0000  6 Ni 2.40
6 Ni 0.9994 0.4997 0.5000  6 Ni 2.40-2.44, 2 Fe 2.40

## Properties
ΔE_f = -0.230 eV per atom
E = -8.237 eV/atom
calculated volume = 13.31 A^3/atom
size of the total moment = 3.2 Bohr magnetons per cell

---

No. 3
Density functional theory data (GGA-PBEsol) for a relaxed structure of Zr2HgPb.

Cell: 5.7457 5.7457 5.7457 Å, 136.85 136.85 62.66°
Closest atoms and distances in Å follow each position.
Positions (direct):
1 Zr 0.0000 0.0000 0.0000  4 Pb 2.99, 4 Zr 3.24, 4 Hg 3.24
2 Zr 0.7500 0.2500 0.5000  4 Hg 2.99, 4 Pb 3.24, 4 Zr 3.24
3 Hg 0.2500 0.7500 0.5000  8 Zr 2.99-3.24, 4 Pb 3.24
4 Pb 0.5000 0.5000 0.0000  8 Zr 2.99-3.24, 4 Hg 3.24

## Properties
ΔE_f = -0.224 eV per atom
E = -5.910 eV/atom
calculated volume = 21.90 A^3/atom
size of the total moment = 0.0 Bohr magnetons per cell

---

No. 4
Density functional theory data (GGA-PBEsol) for a relaxed structure of SrTlSi2C.

Cell: 5.5729 5.5729 4.4842 Å, 90.00 90.00 90.00°
Closest atoms and distances in Å follow each position.
Positions (direct):
1 Sr 0.0000 0.0000 0.0000  2 C 2.24
2 Tl 0.5000 0.5000 0.5000  8 Si 3.58, 4 C 3.94
3 Si 0.0000 0.5000 0.0000  2 Sr 2.79
4 Si 0.5000 0.0000 0.0000  2 Sr 2.79
5 C 0.0000 0.0000 0.5000  2 Sr 2.24

## Properties
uncorrected formation energy = 2.04 eV per atom
E = -3.085 eV/atom
calculated volume = 27.85 A^3/atom
size of the total moment = 0.0 Bohr magnetons per cell

---

No. 5
Density functional theory data (GGA-PBEsol) for a relaxed structure of Tc2HgBr.

Cell: 2.9722 2.9722 9.0896 Å, 90.00 90.00 121.66°
Closest atoms and distances in Å follow each position.
Positions (direct):
1 Tc 0.0000 0.0000 0.2363  2 Br 2.59, 2 Hg 2.80, 2 Tc 2.90
2 Tc 0.0000 0.0000 0.7637  2 Br 2.59, 2 Hg 2.80, 2 Tc 2.90
3 Hg 0.5000 0.5000 0.5000  4 Tc 2.80, 6 Hg 2.90-2.97
4 Br 0.5000 0.5000 0.0000  4 Tc 2.59, 2 Br 2.90

## Properties
uncorrected formation energy = 0.95 eV per atom
E = -5.292 eV/atom
calculated volume = 17.09 A^3/atom
size of the total moment = 1.6 Bohr magnetons per cell

---

No. 6
Density functional theory data (GGA-PBEsol) for a relaxed structure of Y5Si10Ir4.

Cell: 12.5286 12.5286 4.2276 Å, 90.00 90.00 90.00°
Closest atoms and distances in Å follow each position.
Positions (direct):
1 Y 0.0000 0.0000 0.0000  12 Si 2.89-3.24, 4 Ir 3.08
2 Y 0.1148 0.3852 0.5000  10 Si 3.16-3.20, 4 Ir 3.22
3 Y 0.1754 0.6754 0.5000  8 Si 2.86-3.03, 4 Ir 3.04
4 Y 0.3246 0.1754 0.5000  8 Si 2.86-3.03, 4 Ir 3.04
5 Y 0.3852 0.8852 0.5000  10 Si 3.16-3.20, 4 Ir 3.22
6 Y 0.5000 0.5000 0.0000  12 Si 2.89-3.24, 4 Ir 3.08
7 Y 0.6148 0.1148 0.5000  10 Si 3.16-3.20, 4 Ir 3.22
8 Y 0.6754 0.8246 0.5000  8 Si 2.86-3.03, 4 Ir 3.04
9 Y 0.8246 0.3246 0.5000  8 Si 2.86-3.03, 4 Ir 3.04
10 Y 0.8852 0.6148 0.5000  10 Si 3.16-3.20, 4 Ir 3.22
11 Si 0.9996 0.1578 0.5000  2 Ir 2.39
12 Si 0.0004 0.8422 0.5000  2 Ir 2.39
13 Si 0.0665 0.5665 0.0000  1 Si 2.36, 2 Ir 2.43
14 Si 0.1578 0.0004 0.5000  2 Ir 2.39
15 Si 0.1638 0.2001 0.0000  2 Ir 2.37-2.48, 1 Si 2.41
16 Si 0.2001 0.8362 0.0000  2 Ir 2.37-2.48, 1 Si 2.41
17 Si 0.2999 0.3362 0.0000  2 Ir 2.37-2.48, 1 Si 2.41
18 Si 0.3362 0.7001 0.0000  2 Ir 2.37-2.48, 1 Si 2.41
19 Si 0.3422 0.5004 0.5000  2 Ir 2.39
20 Si 0.4335 0.0665 0.0000  1 Si 2.36, 2 Ir 2.43
21 Si 0.4996 0.3422 0.5000  2 Ir 2.39
22 Si 0.5004 0.6578 0.5000  2 Ir 2.39
23 Si 0.5665 0.9335 0.0000  1 Si 2.36, 2 Ir 2.43
24 Si 0.6578 0.4996 0.5000  2 Ir 2.39
25 Si 0.6638 0.2999 0.0000  2 Ir 2.37-2.48, 1 Si 2.41
26 Si 0.7001 0.6638 0.0000  2 Ir 2.37-2.48, 1 Si 2.41
27 Si 0.7999 0.1638 0.0000  2 Ir 2.37-2.48, 1 Si 2.41
28 Si 0.8362 0.7999 0.0000  2 Ir 2.37-2.48, 1 Si 2.41
29 Si 0.8422 0.9996 0.5000  2 Ir 2.39
30 Si 0.9335 0.4335 0.0000  1 Si 2.36, 2 Ir 2.43
31 Ir 0.0199 0.7547 0.0000  5 Si 2.37-2.48
32 Ir 0.2453 0.0199 0.0000  5 Si 2.37-2.48
33 Ir 0.2547 0.5199 0.0000  5 Si 2.37-2.48
34 Ir 0.4801 0.2547 0.0000  5 Si 2.37-2.48
35 Ir 0.5199 0.7453 0.0000  5 Si 2.37-2.48
36 Ir 0.7453 0.4801 0.0000  5 Si 2.37-2.48
37 Ir 0.7547 0.9801 0.0000  5 Si 2.37-2.48
38 Ir 0.9801 0.2453 0.0000  5 Si 2.37-2.48

## Properties
uncorrected formation energy = -0.97 eV per atom
E = -7.855 eV/atom
calculated volume = 17.46 A^3/atom
size of the total moment = 0.0 Bohr magnetons per cell

---

What did the first record say?
Density functional theory data (GGA-PBEsol) for a relaxed structure of Zr7Pt10.

Cell: 8.1201 8.1201 9.5623 Å, 90.00 90.00 72.37°
Closest atoms and distances in Å follow each position.
Positions (direct):
1 Zr 0.0000 0.0000 0.0000  8 Pt 2.76-2.77
2 Zr 0.0009 0.4991 0.2500  8 Pt 2.77-2.80
3 Zr 0.1828 0.8172 0.6834  7 Pt 2.79-2.88
4 Zr 0.1895 0.1895 0.5000  10 Pt 2.84-2.95
5 Zr 0.3105 0.3105 0.0000  10 Pt 2.84-2.95
6 Zr 0.3172 0.6828 0.1834  7 Pt 2.79-2.88
7 Zr 0.4991 0.0009 0.7500  8 Pt 2.77-2.80
8 Zr 0.5000 0.5000 0.5000  8 Pt 2.76-2.77
9 Zr 0.5009 0.9991 0.2500  8 Pt 2.77-2.80
10 Zr 0.6828 0.3172 0.8166  7 Pt 2.79-2.88
11 Zr 0.6895 0.6895 0.0000  10 Pt 2.84-2.95
12 Zr 0.8105 0.8105 0.5000  10 Pt 2.84-2.95
13 Zr 0.8172 0.1828 0.3166  7 Pt 2.79-2.88
14 Zr 0.9991 0.5009 0.7500  8 Pt 2.77-2.80
15 Pt 0.0635 0.6446 0.9998  6 Zr 2.77-2.95, 4 Pt 2.79-2.84
16 Pt 0.1074 0.8926 0.3924  5 Pt 2.79-2.91, 5 Zr 2.84-2.88
17 Pt 0.1446 0.5635 0.4998  6 Zr 2.77-2.95, 4 Pt 2.79-2.84
18 Pt 0.1457 0.1466 0.2084  6 Zr 2.76-2.93, 4 Pt 2.80-2.84
19 Pt 0.1466 0.1457 0.7916  6 Zr 2.76-2.93, 4 Pt 2.80-2.84
20 Pt 0.3534 0.3543 0.2916  6 Zr 2.76-2.93, 4 Pt 2.80-2.84
21 Pt 0.3543 0.3534 0.7084  6 Zr 2.76-2.93, 4 Pt 2.80-2.84
22 Pt 0.3554 0.9365 0.9998  6 Zr 2.77-2.95, 4 Pt 2.79-2.84
23 Pt 0.3926 0.6074 0.8924  5 Pt 2.79-2.91, 5 Zr 2.84-2.88
24 Pt 0.4365 0.8554 0.4998  6 Zr 2.77-2.95, 4 Pt 2.79-2.84
25 Pt 0.5635 0.1446 0.5002  6 Zr 2.77-2.95, 4 Pt 2.79-2.84
26 Pt 0.6074 0.3926 0.1076  5 Pt 2.79-2.91, 5 Zr 2.84-2.88
27 Pt 0.6446 0.0635 0.0002  6 Zr 2.77-2.95, 4 Pt 2.79-2.84
28 Pt 0.6457 0.6466 0.2916  6 Zr 2.76-2.93, 4 Pt 2.80-2.84
29 Pt 0.6466 0.6457 0.7084  6 Zr 2.76-2.93, 4 Pt 2.80-2.84
30 Pt 0.8534 0.8543 0.2084  6 Zr 2.76-2.93, 4 Pt 2.80-2.84
31 Pt 0.8543 0.8534 0.7916  6 Zr 2.76-2.93, 4 Pt 2.80-2.84
32 Pt 0.8554 0.4365 0.5002  6 Zr 2.77-2.95, 4 Pt 2.79-2.84
33 Pt 0.8926 0.1074 0.6076  5 Pt 2.79-2.91, 5 Zr 2.84-2.88
34 Pt 0.9365 0.3554 0.0002  6 Zr 2.77-2.95, 4 Pt 2.79-2.84

## Properties
ΔE_f = -1.095 eV per atom
E = -8.934 eV/atom
calculated volume = 17.67 A^3/atom
size of the total moment = 0.0 Bohr magnetons per cell